The following is a DFT calculation (PBE-GGA) of a relaxed Tl12Te3Br5 crystal.

## Properties
E_form (uncorrected)   -0.44 eV per atom
Calculated total energy   -2.751 eV per atom
Symmetry   Ia-3d

Geometry as extended XYZ:
```
80
Lattice="-8.1828 -12.9416 6.8152 13.3869 3.7086 9.3770 -10.1788 13.2957 -0.7120" Properties=species:S:1:pos:R:3 pbc="T T T"
Te -2.3894 -6.6535 8.5388
Te 1.6079 -6.8805 12.9071
Te 0.6099 6.2382 9.1435
Te -4.1894 2.2141 2.6089
Te -8.0313 -7.5364 6.9575
Te 2.7536 0.7887 8.2384
Te -7.7282 3.2740 7.2419
Te 3.0566 11.5991 8.5228
Te -0.7853 1.8486 12.8713
Te -5.5846 -2.1755 6.3368
Te -6.5825 10.9432 2.5731
Te -2.5853 10.7162 6.9414
Br 1.4525 3.0969 4.1903
Br 6.6934 1.8543 4.6885
Br 0.0000 0.0000 0.0000
Br -0.9942 -2.2640 4.8110
Br -9.1808 0.1771 3.0516
Br 2.6020 -4.6165 8.0961
Br 5.2003 6.1496 7.6177
Br -13.3702 2.3911 5.6605
Br -1.5873 -2.4024 10.7051
Br -9.0293 5.5823 3.1938
Br 4.0546 -1.5196 12.2864
Br -2.4873 2.0314 7.7401
Br -4.0914 -6.4708 3.4076
Br -5.0894 6.6479 -0.3560
Br -3.3873 6.4652 4.7752
Br 8.3955 1.6716 9.8197
Br 1.6041 8.5022 4.3325
Br -10.1750 -2.0869 7.8626
Br -3.9805 6.3267 10.6693
Br -6.4272 0.9658 11.2900
Tl -4.5608 -8.0367 6.2690
Tl 0.5455 3.2175 7.2356
Tl -5.7806 -7.1950 9.5262
Tl -3.0732 -4.4542 5.8068
Tl -1.7965 4.0543 10.2481
Tl -1.5080 -7.8057 11.8044
Tl 3.3404 4.1619 9.2610
Tl 10.1430 4.2415 9.1469
Tl 1.0194 4.7217 12.3530
Tl 0.1248 -5.0391 10.2279
Tl -4.0443 -3.7137 9.1705
Tl 4.7757 -6.6388 14.2059
Tl 2.7971 8.2196 7.3913
Tl 1.8463 -2.0159 6.2186
Tl 7.9888 7.0812 8.8292
Tl -7.4758 2.8843 3.8412
Tl -0.7054 2.5910 1.9103
Tl 4.3998 -2.0739 9.1744
Tl 2.7102 -3.7171 14.1505
Tl 3.5678 0.8327 4.9044
Tl 1.8050 9.2370 10.6755
Tl -0.4537 0.4172 9.7695
Tl -1.9762 -1.2742 13.6524
Tl -11.2559 3.4711 7.7759
Tl -4.5210 3.6455 5.7108
Tl -2.9985 5.3369 1.8278
Tl 6.2812 0.5916 7.7044
Tl -7.6849 7.7798 1.3297
Tl -6.7797 -5.1743 4.8047
Tl -8.5425 3.2300 10.5759
Tl -9.3744 6.1366 6.3058
Tl 2.5012 1.1784 11.6391
Tl -4.2693 1.4718 13.5700
Tl -12.9634 -3.0185 6.6511
Tl -7.7718 -4.1569 8.0889
Tl -9.7504 10.7015 1.2744
Tl -6.8210 6.0786 9.2617
Tl -5.9941 -0.6590 3.1272
Tl -5.0995 9.1018 5.2524
Tl -0.9304 7.7764 6.3098
Tl -15.1177 -0.1788 6.3333
Tl -8.3150 -0.0992 6.2192
Tl -1.9015 8.5169 9.6734
Tl -3.4667 11.8684 3.6758
Tl -3.1782 0.0084 5.2321
Tl 0.8059 11.2577 5.9541
Tl -5.5202 0.8452 8.2447
Tl -0.4139 12.0994 9.2113
```